[1]
Computed, not measured: a PBEsol-optimized structure of TaAgPt at the meta-GGA SCAN level of DFT.

Structure (extended XYZ):
```
3
Lattice="-2.673 -0.916 0.192 0.759 -1.780 2.068 -0.214 5.630 2.985" Properties=species:S:1:pos:R:3 pbc="T T T"
Ag -2.127 2.927 5.239
Pt -0.768 2.807 2.698
Ta -1.363 0.133 2.554
```

Its formation enthalpy at 0 K is -0.2166 eV per atom. As for the total energy: -168.8 eV per formula unit. For the density of states at the Fermi level, the calculation gives 0.6824 states/eV/atom. The crystal system is tetragonal. For the offset from the most stable computed form, the calculation gives 0 kJ/mol of formula units.

***

[2]
Computed, not measured: a PBEsol-optimized structure of Tc2AgPt at the meta-GGA SCAN level of DFT.

Structure (extended XYZ):
```
4
Lattice="-2.543 0.401 0.903 -1.267 -1.954 1.420 2.057 2.995 8.577" Properties=species:S:1:pos:R:3 pbc="T T T"
Ag -0.870 0.728 5.466
Pt -0.471 0.326 2.648
Tc 2.026 2.962 8.504
Tc -1.257 1.143 8.311
```

Its formation enthalpy at 0 K is 0.0294 eV per atom. As for the total energy: -171.6 eV per formula unit. For the density of states at the Fermi level, the calculation gives 0.8666 states/eV/atom. The crystal system is trigonal. For the offset from the most stable computed form, the calculation gives 0 kJ/mol of formula units.